The following is a PBE calculation of a relaxed GdScTiCd crystal, from Alexandria.

- DFT formation energy: 0.039 eV per atom

Structure (CIF):
```
data_GdScTiCd
_cell_length_a 5.107
_cell_length_b 5.107
_cell_length_c 5.107
_cell_angle_alpha 60.00
_cell_angle_beta 60.00
_cell_angle_gamma 60.00
_space_group_name_H-M_alt 'P 1'
_space_group_IT_number 1
_space_group_name_Hall 'P 1'
loop_
_atom_site_label
_atom_site_fract_x
_atom_site_fract_y
_atom_site_fract_z
Sc1 0.500 0.500 0.500
Gd1 0.000 0.000 0.000
Ti1 0.250 0.250 0.250
Cd1 0.750 0.750 0.750
```

The following is a PBE calculation of a relaxed Rb2AlWAu crystal, from Alexandria.

- DFT formation energy: 1.249 eV per atom

Structure (CIF):
```
data_Rb2AlWAu
_cell_length_a 6.741
_cell_length_b 5.009
_cell_length_c 6.741
_cell_angle_alpha 90.00
_cell_angle_beta 90.00
_cell_angle_gamma 90.00
_space_group_name_H-M_alt 'P 1'
_space_group_IT_number 1
_space_group_name_Hall 'P 1'
loop_
_atom_site_label
_atom_site_fract_x
_atom_site_fract_y
_atom_site_fract_z
Au1 0.500 0.500 0.500
Rb1 0.000 0.000 0.500
Rb2 0.500 0.000 0.000
W1 0.000 0.500 0.000
Al1 0.000 0.000 0.000
```

The following is a PBE calculation of a relaxed Al2SeCl crystal, from Alexandria.

- E_form (uncorrected): -0.17 eV per atom
- E above lowest polymorph: 466 meV/atom

Structure (CIF):
```
data_Al2SeCl
_cell_length_a 3.679
_cell_length_b 6.485
_cell_length_c 3.882
_cell_angle_alpha 90.00
_cell_angle_beta 90.00
_cell_angle_gamma 90.00
_space_group_name_H-M_alt 'P 1'
_space_group_IT_number 1
_space_group_name_Hall 'P 1'
loop_
_atom_site_label
_atom_site_fract_x
_atom_site_fract_y
_atom_site_fract_z
Al1 0.000 0.000 0.000
Al2 0.500 0.500 0.000
Se1 0.000 0.500 0.500
Cl1 0.500 0.000 0.500
```

The following is a PBE calculation of a relaxed KHg3Te3 crystal, from Alexandria.

- E_form (uncorrected): -0.22 eV per atom
- E above lowest polymorph: 64 meV/atom

Structure (CIF):
```
data_KHg3Te3
_cell_length_a 8.322
_cell_length_b 8.322
_cell_length_c 8.322
_cell_angle_alpha 90.00
_cell_angle_beta 90.00
_cell_angle_gamma 90.00
_space_group_name_H-M_alt 'P 1'
_space_group_IT_number 1
_space_group_name_Hall 'P 1'
loop_
_atom_site_label
_atom_site_fract_x
_atom_site_fract_y
_atom_site_fract_z
K1 0.500 0.500 0.500
K2 0.000 0.000 0.000
Te1 0.250 0.000 0.500
Te2 0.000 0.500 0.250
Te3 0.500 0.750 0.000
Te4 0.750 0.000 0.500
Te5 0.000 0.500 0.750
Te6 0.500 0.250 0.000
Hg1 0.000 0.250 0.500
Hg2 0.000 0.750 0.500
Hg3 0.500 0.000 0.750
Hg4 0.750 0.500 0.000
Hg5 0.500 0.000 0.250
Hg6 0.250 0.500 0.000
```

We obtain calculated volume values of 23.55, 45.52, 23.15, 41.17 Å³/atom for the records listed above, in that order.